Entry 1:
! PBE RuPb3I, optimized geometry; values from VASP
! SG = Pm-3m (221)
! theoretical density = 9.13 g cm⁻³
! E_tot = -4.359 eV per atom
! crystal system = cubic
&SYSTEM
  ibrav = 0, nat = 5, ntyp = 3
/
ATOMIC_SPECIES
Ru 101.07 Ru.upf
Pb 207.20 Pb.upf
I 126.90 I.upf
CELL_PARAMETERS angstrom
5.3653 0.0000 0.0000
0.0000 5.3653 0.0000
0.0000 0.0000 5.3653
ATOMIC_POSITIONS angstrom
Ru 0.0000 0.0000 0.0000
Pb 0.0000 0.0000 2.6827
Pb 0.0000 2.6827 0.0000
Pb 2.6827 0.0000 0.0000
I 2.6827 2.6827 2.6827

Entry 2:
! PBE RuPbI2, optimized geometry; values from VASP
! SG = Fm-3m (225)
! theoretical density = 8.45 g cm⁻³
! E_tot = -3.353 eV per atom
! crystal system = cubic
&SYSTEM
  ibrav = 0, nat = 16, ntyp = 3
/
ATOMIC_SPECIES
Ru 101.07 Ru.upf
Pb 207.20 Pb.upf
I 126.90 I.upf
CELL_PARAMETERS angstrom
7.6158 0.0000 0.0000
0.0000 7.6158 0.0000
0.0000 0.0000 7.6158
ATOMIC_POSITIONS angstrom
Ru 0.0000 0.0000 0.0000
Ru 0.0000 3.8079 3.8079
Ru 3.8079 0.0000 3.8079
Ru 3.8079 3.8079 0.0000
Pb 0.0000 0.0000 3.8079
Pb 0.0000 3.8079 0.0000
Pb 3.8079 0.0000 0.0000
Pb 3.8079 3.8079 3.8079
I 1.9040 1.9040 1.9040
I 1.9040 1.9040 5.7119
I 1.9040 5.7119 1.9040
I 1.9040 5.7119 5.7119
I 5.7119 1.9040 1.9040
I 5.7119 1.9040 5.7119
I 5.7119 5.7119 1.9040
I 5.7119 5.7119 5.7119

Entry 3:
! PBE Ru2PbI, optimized geometry; values from VASP
! SG = Fm-3m (225)
! theoretical density = 11.61 g cm⁻³
! E_tot = -5.079 eV per atom
! crystal system = cubic
&SYSTEM
  ibrav = 0, nat = 16, ntyp = 3
/
ATOMIC_SPECIES
Ru 101.07 Ru.upf
Pb 207.20 Pb.upf
I 126.90 I.upf
CELL_PARAMETERS angstrom
6.7436 0.0000 0.0000
0.0000 6.7436 0.0000
0.0000 0.0000 6.7436
ATOMIC_POSITIONS angstrom
Ru 1.6859 1.6859 1.6859
Ru 1.6859 1.6859 5.0577
Ru 1.6859 5.0577 1.6859
Ru 1.6859 5.0577 5.0577
Ru 5.0577 1.6859 1.6859
Ru 5.0577 1.6859 5.0577
Ru 5.0577 5.0577 1.6859
Ru 5.0577 5.0577 5.0577
Pb 0.0000 0.0000 0.0000
Pb 0.0000 3.3718 3.3718
Pb 3.3718 0.0000 3.3718
Pb 3.3718 3.3718 0.0000
I 0.0000 0.0000 3.3718
I 0.0000 3.3718 0.0000
I 3.3718 0.0000 0.0000
I 3.3718 3.3718 3.3718

Entry 4:
! PBE RuPbI2, optimized geometry; values from VASP
! SG = I-42d (122)
! theoretical density = 6.41 g cm⁻³
! E_tot = -3.494 eV per atom
! crystal system = tetragonal
&SYSTEM
  ibrav = 0, nat = 16, ntyp = 3
/
ATOMIC_SPECIES
Ru 101.07 Ru.upf
Pb 207.20 Pb.upf
I 126.90 I.upf
CELL_PARAMETERS angstrom
7.0199 0.0000 0.0000
0.0000 7.0199 0.0000
0.0000 0.0000 11.8250
ATOMIC_POSITIONS angstrom
Ru 0.0000 0.0000 0.0000
Ru 0.0000 3.5099 2.9562
Ru 3.5099 0.0000 8.8687
Ru 3.5099 3.5099 5.9125
Pb 0.0000 0.0000 5.9125
Pb 0.0000 3.5099 8.8687
Pb 3.5099 0.0000 2.9562
Pb 3.5099 3.5099 0.0000
I 1.2008 1.7550 1.4781
I 1.7550 4.7107 4.4344
I 1.7550 5.8191 10.3469
I 2.3091 1.7550 7.3906
I 4.7107 5.2649 7.3906
I 5.2649 1.2008 10.3469
I 5.2649 2.3091 4.4344
I 5.8191 5.2649 1.4781

Entry 5:
! PBE Sb2RuPbI, optimized geometry; values from VASP
! SG = P4/mmm (123)
! theoretical density = 5.60 g cm⁻³
! E_tot = -2.995 eV per atom
! crystal system = tetragonal
&SYSTEM
  ibrav = 0, nat = 5, ntyp = 4
/
ATOMIC_SPECIES
Sb 121.76 Sb.upf
Ru 101.07 Ru.upf
Pb 207.20 Pb.upf
I 126.90 I.upf
CELL_PARAMETERS angstrom
5.8079 0.0000 0.0000
0.0000 5.8079 0.0000
0.0000 0.0000 5.9668
ATOMIC_POSITIONS angstrom
Sb 0.0000 2.9039 0.0000
Sb 2.9039 0.0000 0.0000
Ru 0.0000 0.0000 2.9834
Pb 2.9039 2.9039 0.0000
I 2.9039 2.9039 2.9834

Entry 6:
! PBE Sb2RuPbI, optimized geometry; values from VASP
! SG = P4/mmm (123)
! theoretical density = 7.49 g cm⁻³
! E_tot = -4.218 eV per atom
! crystal system = tetragonal
&SYSTEM
  ibrav = 0, nat = 5, ntyp = 4
/
ATOMIC_SPECIES
Sb 121.76 Sb.upf
Ru 101.07 Ru.upf
Pb 207.20 Pb.upf
I 126.90 I.upf
CELL_PARAMETERS angstrom
5.0903 0.0000 0.0000
0.0000 5.0903 0.0000
0.0000 0.0000 5.8078
ATOMIC_POSITIONS angstrom
Sb 0.0000 2.5452 0.0000
Sb 2.5452 0.0000 0.0000
Ru 0.0000 0.0000 0.0000
Pb 2.5452 2.5452 2.9039
I 0.0000 0.0000 2.9039

Entry 7:
! PBE TeRuPbI2, optimized geometry; values from VASP
! SG = P4/mmm (123)
! theoretical density = 5.98 g cm⁻³
! E_tot = -3.075 eV per atom
! crystal system = tetragonal
&SYSTEM
  ibrav = 0, nat = 5, ntyp = 4
/
ATOMIC_SPECIES
Te 127.60 Te.upf
Ru 101.07 Ru.upf
Pb 207.20 Pb.upf
I 126.90 I.upf
CELL_PARAMETERS angstrom
6.2289 0.0000 0.0000
0.0000 6.2289 0.0000
0.0000 0.0000 4.9358
ATOMIC_POSITIONS angstrom
Te 0.0000 0.0000 0.0000
Ru 0.0000 0.0000 2.4679
Pb 3.1144 3.1144 2.4679
I 0.0000 3.1144 0.0000
I 3.1144 0.0000 0.0000

Entry 8:
! PBE TeRuPbI2, optimized geometry; values from VASP
! SG = P4/mmm (123)
! theoretical density = 7.36 g cm⁻³
! E_tot = -3.620 eV per atom
! crystal system = tetragonal
&SYSTEM
  ibrav = 0, nat = 5, ntyp = 4
/
ATOMIC_SPECIES
Te 127.60 Te.upf
Ru 101.07 Ru.upf
Pb 207.20 Pb.upf
I 126.90 I.upf
CELL_PARAMETERS angstrom
5.4740 0.0000 0.0000
0.0000 5.4740 0.0000
0.0000 0.0000 5.1947
ATOMIC_POSITIONS angstrom
Te 0.0000 0.0000 0.0000
Ru 0.0000 0.0000 2.5974
Pb 2.7370 2.7370 0.0000
I 0.0000 2.7370 2.5974
I 2.7370 0.0000 2.5974

Excess energy over the best structure of this formula in the dataset, record by record: 0 141 0 0 1223 0 545 0 meV/atom
V, record by record: 30.89 27.61 19.17 36.42 40.25 30.10 38.30 31.13 A^3/atom
Formation energy from raw total energies, record by record: 15 258 337 203 753 163 372 109 kJ/mol of formula units